# GaSnHg3

A geometry-optimized GaSnHg3 structure (PBE, Alexandria).

The final energy is -1.317 eV per atom. The energy above the most stable polymorph in this dataset comes out at 217 meV per atom. The crystal system is cubic.

The structure belongs to space group Pm-3m (No. 221); the cell edges are 5.2497, 5.2497 and 5.2497 Å and the angles 90.00°, 90.00° and 90.00°. The inequivalent atoms are Ga at (0.0000, 0.0000, 0.0000), Sn at (0.5000, 0.5000, 0.5000) and Hg at (0.0000, 0.0000, 0.5000).


# GaSn2Hg

A geometry-optimized GaSn2Hg structure (PBE, Alexandria).

The final energy is -2.651 eV per atom. The energy above the most stable polymorph in this dataset comes out at 118 meV per atom. The crystal system is tetragonal.

The structure belongs to space group I-42d (No. 122); the cell edges are 5.3967, 5.3967 and 16.5216 Å and the angles 90.00°, 90.00° and 90.00°. The inequivalent atoms are Ga at (0.0000, 0.0000, 0.0000), Sn at (0.2296, 0.2500, 0.1250) and Hg at (0.0000, 0.0000, 0.5000).


# Sr2Ga4SnHg3

A geometry-optimized Sr2Ga4SnHg3 structure (PBE, Alexandria).

The final energy is -2.374 eV per atom. The crystal system is tetragonal.

The structure belongs to space group P-4m2 (No. 115); the cell edges are 4.6766, 4.6766 and 11.5197 Å and the angles 90.00°, 90.00° and 90.00°. The inequivalent atoms are Sr at (0.0000, 0.5000, 0.2448), Ga at (0.0000, 0.0000, 0.0000), Ga at (0.0000, 0.5000, 0.6401), Ga at (0.5000, 0.5000, 0.0000), Sn at (0.0000, 0.0000, 0.5000), Hg at (0.0000, 0.5000, 0.8688) and Hg at (0.5000, 0.5000, 0.5000).


# Sr2GaSnHg6

A geometry-optimized Sr2GaSnHg6 structure (PBE, Alexandria).

The final energy is -1.473 eV per atom. The crystal system is triclinic.

The structure belongs to space group P-1 (No. 2); the cell edges are 5.9999, 7.0678 and 7.4991 Å and the angles 87.75°, 73.00° and 71.46°. The inequivalent atoms are Sr at (0.2001, 0.2801, 0.2644), Ga at (0.0000, 0.0000, 0.0000), Sn at (0.5000, 0.5000, 0.5000), Hg at (0.1462, 0.8144, 0.3294), Hg at (0.2781, 0.5912, 0.9205) and Hg at (0.3419, 0.1527, 0.7396).


# SrGaSnHg

A geometry-optimized SrGaSnHg structure (PBE, Alexandria).

The final energy is -2.562 eV per atom. The crystal system is cubic.

The structure belongs to space group F-43m (No. 216); the cell edges are 7.5470, 7.5470 and 7.5470 Å and the angles 90.00°, 90.00° and 90.00°. The inequivalent atoms are Sr at (0.0000, 0.0000, 0.0000), Ga at (0.2500, 0.2500, 0.2500), Sn at (0.0000, 0.0000, 0.5000) and Hg at (0.2500, 0.2500, 0.7500).


# Sr2GaSn2Hg4

A geometry-optimized Sr2GaSn2Hg4 structure (PBE, Alexandria).

The final energy is -2.064 eV per atom. The crystal system is tetragonal.

The structure belongs to space group I4/mmm (No. 139); the cell edges are 7.1352, 7.1352 and 9.9580 Å and the angles 90.00°, 90.00° and 90.00°. The inequivalent atoms are Sr at (0.0000, 0.5000, 0.2500), Ga at (0.0000, 0.0000, 0.0000), Sn at (0.0000, 0.0000, 0.2927) and Hg at (0.2275, 0.2275, 0.5000).


# TbGaSnHg

A geometry-optimized TbGaSnHg structure (PBE, Alexandria).

The final energy is -3.248 eV per atom. The energy above the most stable polymorph in this dataset comes out at 196 meV per atom. The crystal system is cubic.

The structure belongs to space group F-43m (No. 216); the cell edges are 7.2939, 7.2939 and 7.2939 Å and the angles 90.00°, 90.00° and 90.00°. The inequivalent atoms are Tb at (0.0000, 0.0000, 0.0000), Ga at (0.2500, 0.2500, 0.2500), Sn at (0.0000, 0.0000, 0.5000) and Hg at (0.2500, 0.2500, 0.7500).


# TbGaSnHg

A geometry-optimized TbGaSnHg structure (PBE, Alexandria).

The final energy is -3.445 eV per atom. The energy above the most stable polymorph in this dataset comes out at 0 meV per atom. The crystal system is orthorhombic.

The structure belongs to space group Pmmm (No. 47); the cell edges are 4.4454, 4.5586 and 4.6016 Å and the angles 90.00°, 90.00° and 90.00°. The inequivalent atoms are Tb at (0.0000, 0.0000, 0.0000), Ga at (0.5000, 0.5000, 0.0000), Sn at (0.5000, 0.0000, 0.5000) and Hg at (0.0000, 0.5000, 0.5000).